Record 1
Computed, not measured: an optimized crystal structure of Na12Cd7Pd at the PBE level of DFT.

Values from the calculation:
- volume (Å³/cell) = 531
- final energy (eV per cell) = -29.10
- SG = No. 148

Cell: 8.3543 8.3543 8.3543 Å, 102.82 102.82 102.82°
Last column: nearest neighbours and their distance in Å.
Atoms (fractional coordinates):
Na1 0.0006 0.2650 0.7348  6 Na 3.30-3.48, 5 Cd 3.34-3.46
Na2 0.1761 0.4217 0.1776  1 Pd 3.19, 6 Na 3.20-3.48, 4 Cd 3.27-3.35
Na3 0.1776 0.1761 0.4217  1 Pd 3.19, 6 Na 3.20-3.48, 4 Cd 3.27-3.35
Na4 0.2650 0.7348 0.0006  6 Na 3.30-3.48, 5 Cd 3.34-3.46
Na5 0.2652 0.9994 0.7350  6 Na 3.30-3.48, 5 Cd 3.34-3.46
Na6 0.4217 0.1776 0.1761  1 Pd 3.19, 6 Na 3.20-3.48, 4 Cd 3.27-3.35
Na7 0.5783 0.8224 0.8239  1 Pd 3.19, 6 Na 3.20-3.48, 4 Cd 3.27-3.35
Na8 0.7348 0.0006 0.2650  6 Na 3.30-3.48, 5 Cd 3.34-3.46
Na9 0.7350 0.2652 0.9994  6 Na 3.30-3.48, 5 Cd 3.34-3.46
Na10 0.8224 0.8239 0.5783  1 Pd 3.19, 6 Na 3.20-3.48, 4 Cd 3.27-3.35
Na11 0.8239 0.5783 0.8224  1 Pd 3.19, 6 Na 3.20-3.48, 4 Cd 3.27-3.35
Na12 0.9994 0.7350 0.2652  6 Na 3.30-3.48, 5 Cd 3.34-3.46
Cd1 0.0000 0.0000 0.0000  12 Na 3.35-3.46
Cd2 0.1902 0.5769 0.5778  1 Pd 2.97, 3 Cd 3.01-3.13, 2 Na 3.27-3.28
Cd3 0.4222 0.8098 0.4231  1 Pd 2.97, 3 Cd 3.01-3.13, 2 Na 3.27-3.28
Cd4 0.4231 0.4222 0.8098  1 Pd 2.97, 3 Cd 3.01-3.13, 2 Na 3.27-3.28
Cd5 0.5769 0.5778 0.1902  1 Pd 2.97, 3 Cd 3.01-3.13, 2 Na 3.27-3.28
Cd6 0.5778 0.1902 0.5769  1 Pd 2.97, 3 Cd 3.01-3.13, 2 Na 3.27-3.28
Cd7 0.8098 0.4231 0.4222  1 Pd 2.97, 3 Cd 3.01-3.13, 2 Na 3.27-3.28
Pd1 0.5000 0.5000 0.5000  6 Cd 2.97, 6 Na 3.19

=====

Record 2
Computed, not measured: an optimized crystal structure of Na4Cd3Pd2 at the PBE level of DFT.

Values from the calculation:
- volume (Å³/cell) = 225
- final energy (eV per cell) = -19.95
- SG = No. 12

Cell: 7.9214 7.9214 6.7488 Å, 101.25 101.25 32.94°
Last column: nearest neighbours and their distance in Å.
Atoms (fractional coordinates):
Na1 0.0826 0.0826 0.3654  2 Pd 2.93-3.06, 2 Cd 3.15
Na2 0.2801 0.2801 0.8186  3 Pd 3.07-3.26, 4 Cd 3.27-3.32
Na3 0.7199 0.7199 0.1814  3 Pd 3.07-3.26, 4 Cd 3.27-3.32
Na4 0.9174 0.9174 0.6346  2 Pd 2.93-3.06, 2 Cd 3.15
Cd1 0.3788 0.3788 0.3007  2 Pd 2.77, 1 Cd 3.01
Cd2 0.5000 0.5000 0.0000  4 Pd 2.76, 2 Cd 3.01
Cd3 0.6212 0.6212 0.6993  2 Pd 2.77, 1 Cd 3.01
Pd1 0.0914 0.0914 0.9163  4 Cd 2.76-2.77, 3 Na 2.93-3.07
Pd2 0.9086 0.9086 0.0837  4 Cd 2.76-2.77, 3 Na 2.93-3.07